(1)
SrTmAsO after structural relaxation, computed with PBE.

total magnetization = 0.0 μB/f.u.
excess energy over the best structure of this formula in the dataset = 0.4251 eV/atom
density = 6.60 g/cm³
uncorrected energy = -44.9 eV per cell

Geometry as CIF:
```
data_SrTmAsO
_cell_length_a 4.3777
_cell_length_b 4.3777
_cell_length_c 9.1251
_cell_angle_alpha 90.00
_cell_angle_beta 90.00
_cell_angle_gamma 90.00
_symmetry_space_group_name_H-M 'P 4/n m m'
_symmetry_Int_Tables_number 129
loop_
_symmetry_equiv_pos_as_xyz
'x,y,z'
'-x,-y,-z'
'-y+1/2,x,z'
'y+1/2,-x,-z'
'-x+1/2,-y+1/2,z'
'x+1/2,y+1/2,-z'
'y,-x+1/2,z'
'-y,x+1/2,-z'
'x+1/2,-y,-z'
'-x+1/2,y,z'
'-y,-x,-z'
'y,x,z'
'-x,y+1/2,-z'
'x,-y+1/2,z'
'y+1/2,x+1/2,-z'
'-y+1/2,-x+1/2,z'
loop_
_atom_site_label
_atom_site_type_symbol
_atom_site_fract_x
_atom_site_fract_y
_atom_site_fract_z
_atom_site_occupancy
Sr1 Sr 0.2500 0.7500 0.0000 1
Tm1 Tm 0.2500 0.2500 0.4202 1
As1 As 0.2500 0.2500 0.7758 1
O1 O 0.2500 0.7500 0.5000 1
```

(2)
TeAsWAu after structural relaxation, computed with PBE.

total magnetization = 0.0 μB/f.u.
excess energy over the best structure of this formula in the dataset = 0.1487 eV/atom
density = 12.50 g/cm³
uncorrected energy = -82.1 eV per cell

Geometry as CIF:
```
data_TeAsWAu
_cell_length_a 6.7668
_cell_length_b 6.7668
_cell_length_c 6.7668
_cell_angle_alpha 90.00
_cell_angle_beta 90.00
_cell_angle_gamma 90.00
_symmetry_space_group_name_H-M 'F -4 3 m'
_symmetry_Int_Tables_number 216
_symmetry_space_group_name_Hall 'F -4 2 3'
loop_
_atom_site_label
_atom_site_type_symbol
_atom_site_fract_x
_atom_site_fract_y
_atom_site_fract_z
_atom_site_occupancy
Te1 Te 0.0000 0.0000 0.0000 1
As1 As 0.2500 0.2500 0.7500 1
W1 W 0.2500 0.2500 0.2500 1
Au1 Au 0.0000 0.0000 0.5000 1
```

(3)
CuAg4 after structural relaxation, computed with PBE.

excess energy over the best structure of this formula in the dataset = 0.0303 eV/atom
calculated formation energy = 55 meV per atom
density = 9.73 g/cm³
uncorrected energy = -29.5 eV per cell

Geometry as CIF:
```
data_CuAg4
_cell_length_a 2.9028
_cell_length_b 4.0207
_cell_length_c 14.4717
_cell_angle_alpha 90.00
_cell_angle_beta 90.00
_cell_angle_gamma 90.00
_symmetry_space_group_name_H-M 'P m m m'
_symmetry_Int_Tables_number 47
loop_
_symmetry_equiv_pos_as_xyz
'x,y,z'
'-x,-y,-z'
'-x,-y,z'
'x,y,-z'
'x,-y,-z'
'-x,y,z'
'-x,y,-z'
'x,-y,z'
loop_
_atom_site_label
_atom_site_type_symbol
_atom_site_fract_x
_atom_site_fract_y
_atom_site_fract_z
_atom_site_occupancy
Cu1 Cu 0.0000 0.0000 0.0930 1
Ag1 Ag 0.0000 0.0000 0.2916 1
Ag2 Ag 0.0000 0.0000 0.5000 1
Ag3 Ag 0.5000 0.5000 0.0000 1
Ag4 Ag 0.5000 0.5000 0.1898 1
Ag5 Ag 0.5000 0.5000 0.3963 1
```

(4)
DySiTc after structural relaxation, computed with PBE.

total magnetization = 0.3 μB/f.u.
excess energy over the best structure of this formula in the dataset = 1.0472 eV/atom
density = 7.10 g/cm³
uncorrected energy = -70.0 eV per cell

Geometry as CIF:
```
data_DySiTc
_cell_length_a 6.4620
_cell_length_b 6.4620
_cell_length_c 6.4620
_cell_angle_alpha 90.00
_cell_angle_beta 90.00
_cell_angle_gamma 90.00
_symmetry_space_group_name_H-M 'F -4 3 m'
_symmetry_Int_Tables_number 216
_symmetry_space_group_name_Hall 'F -4 2 3'
loop_
_atom_site_label
_atom_site_type_symbol
_atom_site_fract_x
_atom_site_fract_y
_atom_site_fract_z
_atom_site_occupancy
Dy1 Dy 0.0000 0.0000 0.0000 1
Si1 Si 0.2500 0.2500 0.7500 1
Tc1 Tc 0.2500 0.2500 0.2500 1
```

(5)
LiGdGe after structural relaxation, computed with PBE.

total magnetization = 0.0 μB/f.u.
excess energy over the best structure of this formula in the dataset = 0.0274 eV/atom
density = 6.40 g/cm³
uncorrected energy = -26.5 eV per cell

Geometry as CIF:
```
data_LiGdGe
_cell_length_a 4.4096
_cell_length_b 4.4096
_cell_length_c 7.2997
_cell_angle_alpha 90.00
_cell_angle_beta 90.00
_cell_angle_gamma 120.00
_symmetry_space_group_name_H-M 'P 63/m m c'
_symmetry_Int_Tables_number 194
_symmetry_space_group_name_Hall '-P 6c 2c'
loop_
_atom_site_label
_atom_site_type_symbol
_atom_site_fract_x
_atom_site_fract_y
_atom_site_fract_z
_atom_site_occupancy
Li1 Li 0.3333 0.6667 0.2500 1
Gd1 Gd 0.0000 0.0000 0.0000 1
Ge1 Ge 0.3333 0.6667 0.7500 1
```

(6)
HgTePdO after structural relaxation, computed with PBE.

excess energy over the best structure of this formula in the dataset = 0.1112 eV/atom
density = 8.38 g/cm³
uncorrected energy = -57.1 eV per cell

Geometry as CIF:
```
data_HgTePdO
_cell_length_a 5.8913
_cell_length_b 7.3098
_cell_length_c 8.2918
_cell_angle_alpha 90.00
_cell_angle_beta 90.00
_cell_angle_gamma 90.00
_symmetry_space_group_name_H-M 'P 21 21 21'
_symmetry_Int_Tables_number 19
loop_
_symmetry_equiv_pos_as_xyz
'x,y,z'
'-x+1/2,-y,z+1/2'
'x+1/2,-y+1/2,-z'
'-x,y+1/2,-z+1/2'
loop_
_atom_site_label
_atom_site_type_symbol
_atom_site_fract_x
_atom_site_fract_y
_atom_site_fract_z
_atom_site_occupancy
Hg1 Hg 0.1562 0.1249 0.3895 1
Te1 Te 0.0603 0.5023 0.8348 1
Pd1 Pd 0.1966 0.7447 0.4935 1
O1 O 0.0600 0.2763 0.1668 1
```

(7)
Zr4Pt3 after structural relaxation, computed with PBE.

total magnetization = 0.0 μB/f.u.
excess energy over the best structure of this formula in the dataset = 0.0000 eV/atom
calculated formation energy = -748 meV per atom
density = 11.73 g/cm³
uncorrected energy = -115.2 eV per cell

Geometry as CIF:
```
data_Zr4Pt3
_cell_length_a 8.0252
_cell_length_b 8.0252
_cell_length_c 4.8215
_cell_angle_alpha 90.00
_cell_angle_beta 90.00
_cell_angle_gamma 120.00
_symmetry_space_group_name_H-M 'P 63/m'
_symmetry_Int_Tables_number 176
_symmetry_space_group_name_Hall '-P 6c'
loop_
_atom_site_label
_atom_site_type_symbol
_atom_site_fract_x
_atom_site_fract_y
_atom_site_fract_z
_atom_site_occupancy
Zr1 Zr 0.0129 0.7636 0.2500 1
Zr2 Zr 0.3333 0.6667 0.2500 1
Pt1 Pt 0.0801 0.6208 0.7500 1
```

(8)
Cs4P2PdO8 after structural relaxation, computed with PBE.

density = 4.62 g/cm³
uncorrected energy = -88.8 eV per cell

Geometry as CIF:
```
data_Cs4P2PdO8
_cell_length_a 6.0181
_cell_length_b 6.4396
_cell_length_c 7.9636
_cell_angle_alpha 85.92
_cell_angle_beta 77.09
_cell_angle_gamma 81.99
_symmetry_space_group_name_H-M 'P -1'
_symmetry_Int_Tables_number 2
loop_
_symmetry_equiv_pos_as_xyz
'x,y,z'
'-x,-y,-z'
loop_
_atom_site_label
_atom_site_type_symbol
_atom_site_fract_x
_atom_site_fract_y
_atom_site_fract_z
_atom_site_occupancy
Cs1 Cs 0.1588 0.1939 0.3532 1
Cs2 Cs 0.2323 0.7276 0.9958 1
P1 P 0.3300 0.2362 0.7592 1
Pd1 Pd 0.5000 0.5000 0.5000 1
O1 O 0.2038 0.4406 0.6763 1
O2 O 0.2552 0.0381 0.7058 1
O3 O 0.2885 0.2492 0.9555 1
O4 O 0.4091 0.7355 0.3281 1
```

(9)
Er5ThSb6 after structural relaxation, computed with PBE.

total magnetization = 0.0 μB/f.u.
density = 8.38 g/cm³
uncorrected energy = -135.6 eV per cell

Geometry as CIF:
```
data_Er5ThSb6
_cell_length_a 7.5864
_cell_length_b 13.1367
_cell_length_c 7.5927
_cell_angle_alpha 90.00
_cell_angle_beta 109.50
_cell_angle_gamma 90.00
_symmetry_space_group_name_H-M 'C 1 2/m 1'
_symmetry_Int_Tables_number 12
loop_
_symmetry_equiv_pos_as_xyz
'x,y,z'
'-x,-y,-z'
'-x,y,-z'
'x,-y,z'
'x+1/2,y+1/2,z'
'-x+1/2,-y+1/2,-z'
'-x+1/2,y+1/2,-z'
'x+1/2,-y+1/2,z'
loop_
_atom_site_label
_atom_site_type_symbol
_atom_site_fract_x
_atom_site_fract_y
_atom_site_fract_z
_atom_site_occupancy
Er1 Er 0.0000 0.0000 0.0000 1
Er2 Er 0.0000 0.1675 0.5000 1
Er3 Er 0.0000 0.3360 0.0000 1
Th1 Th 0.0000 0.5000 0.5000 1
Sb1 Sb 0.2442 0.0000 0.7514 1
Sb2 Sb 0.2454 0.1695 0.2453 1
```

(10)
YFeHgB after structural relaxation, computed with PBE.

total magnetization = 2.6 μB/f.u.
excess energy over the best structure of this formula in the dataset = 0.0000 eV/atom
density = 8.51 g/cm³
uncorrected energy = -78.7 eV per cell

Geometry as CIF:
```
data_YFeHgB
_cell_length_a 6.5254
_cell_length_b 6.5254
_cell_length_c 6.5254
_cell_angle_alpha 90.00
_cell_angle_beta 90.00
_cell_angle_gamma 90.00
_symmetry_space_group_name_H-M 'F -4 3 m'
_symmetry_Int_Tables_number 216
_symmetry_space_group_name_Hall 'F -4 2 3'
loop_
_atom_site_label
_atom_site_type_symbol
_atom_site_fract_x
_atom_site_fract_y
_atom_site_fract_z
_atom_site_occupancy
Y1 Y 0.0000 0.0000 0.0000 1
Fe1 Fe 0.0000 0.0000 0.5000 1
Hg1 Hg 0.2500 0.2500 0.7500 1
B1 B 0.2500 0.2500 0.2500 1
```

(11)
Ac2Ag3Au after structural relaxation, computed with PBE.

total magnetization = 0.0 μB/f.u.
calculated formation energy = -464 meV per atom
density = 10.03 g/cm³
uncorrected energy = -181.9 eV per cell

Geometry as CIF:
```
data_Ac2Ag3Au
_cell_length_a 7.9662
_cell_length_b 9.6323
_cell_length_c 16.8264
_cell_angle_alpha 90.00
_cell_angle_beta 90.00
_cell_angle_gamma 90.00
_symmetry_space_group_name_H-M 'F m m m'
_symmetry_Int_Tables_number 69
_symmetry_space_group_name_Hall '-F 2 2'
loop_
_atom_site_label
_atom_site_type_symbol
_atom_site_fract_x
_atom_site_fract_y
_atom_site_fract_z
_atom_site_occupancy
Ac1 Ac 0.2475 0.0000 0.0000 1
Ac2 Ac 0.2500 0.2500 0.2500 1
Ag1 Ag 0.0000 0.0000 0.3343 1
Ag2 Ag 0.0000 0.2485 0.4174 1
Au1 Au 0.0000 0.0000 0.1675 1
```

(12)
GaAgPt after structural relaxation, computed with PBE.

total magnetization = 0.0 μB/f.u.
excess energy over the best structure of this formula in the dataset = 0.0000 eV/atom
density = 10.63 g/cm³
uncorrected energy = -49.7 eV per cell

Geometry as CIF:
```
data_GaAgPt
_cell_length_a 6.1531
_cell_length_b 6.1531
_cell_length_c 6.1531
_cell_angle_alpha 90.00
_cell_angle_beta 90.00
_cell_angle_gamma 90.00
_symmetry_space_group_name_H-M 'F -4 3 m'
_symmetry_Int_Tables_number 216
_symmetry_space_group_name_Hall 'F -4 2 3'
loop_
_atom_site_label
_atom_site_type_symbol
_atom_site_fract_x
_atom_site_fract_y
_atom_site_fract_z
_atom_site_occupancy
Ga1 Ga 0.0000 0.0000 0.0000 1
Ag1 Ag 0.0000 0.0000 0.5000 1
Pt1 Pt 0.2500 0.2500 0.7500 1
```